Entry 1:
The following is a PBE-GGA calculation of Ti2PdPt6 after structural relaxation, from Alexandria.

a = 2.783 Å, b = 13.181 Å, c = 7.668 Å
α = 90.00°, β = 90.00°, γ = 90.00°
Space group Amm2 (No. 38)
Symmetry-distinct sites (fractional):
Ti (0.000, 0.154, 0.000) (multiplicity 4)
Pd (0.500, 0.000, 0.800) (multiplicity 2)
Pt (0.000, 0.000, 0.460) (multiplicity 2)
Pt (0.000, 0.169, 0.657) (multiplicity 4)
Pt (0.500, 0.000, 0.149) (multiplicity 2)
Pt (0.500, 0.182, 0.336) (multiplicity 4)

## Properties
Final energy in eV per cell: -124.4
Formation energy from the elements in meV per atom: -551.7
Magnetic moment in μB/atom: 0.0000

=====

Entry 2:
The following is a PBE-GGA calculation of Ti4Pd6Pt7 after structural relaxation, from Alexandria.

a = 8.239 Å, b = 8.239 Å, c = 8.239 Å
α = 90.00°, β = 90.00°, γ = 90.00°
Space group Im-3m (No. 229)
Symmetry-distinct sites (fractional):
Ti (0.250, 0.250, 0.250) (multiplicity 8)
Pd (0.000, 0.000, 0.298) (multiplicity 12)
Pt (0.000, 0.000, 0.000) (multiplicity 2)
Pt (0.000, 0.250, 0.500) (multiplicity 12)

## Properties
Final energy in eV per cell: -221.2
Formation energy from the elements in meV per atom: -328.5
Magnetic moment in μB/atom: 0.0440

=====

Entry 3:
The following is a PBE-GGA calculation of TiPd2Pt5 after structural relaxation, from Alexandria.

a = 5.591 Å, b = 11.277 Å, c = 3.920 Å
α = 90.00°, β = 90.00°, γ = 90.00°
Space group Pbam (No. 55)
Symmetry-distinct sites (fractional):
Ti (0.000, 0.000, 0.000) (multiplicity 2)
Pd (0.249, 0.123, 0.500) (multiplicity 4)
Pt (0.000, 0.500, 0.000) (multiplicity 2)
Pt (0.003, 0.758, 0.000) (multiplicity 4)
Pt (0.247, 0.880, 0.500) (multiplicity 4)

## Properties
Final energy in eV per cell: -104.1
Formation energy from the elements in meV per atom: -446.8
Magnetic moment in μB/atom: 0.0000